No. 1
A plane-wave DFT calculation with PBE-GGA was carried out for a relaxed structure of U3Ni7As4. Values from VASP.

The structure in Quantum ESPRESSO input format:
```
&SYSTEM
  ibrav = 0, nat = 14, ntyp = 3
/
ATOMIC_SPECIES
U 238.03 U.upf
Ni 58.69 Ni.upf
As 74.92 As.upf
CELL_PARAMETERS angstrom
3.930 0.000 0.992
1.449 7.209 2.543
0.165 0.163 7.633
ATOMIC_POSITIONS angstrom
U 1.532 1.446 2.211
U 4.011 5.926 8.957
U 0.807 3.686 5.088
Ni 2.545 6.018 6.484
Ni 2.372 1.530 7.167
Ni 4.049 2.740 8.807
Ni 2.999 1.354 4.684
Ni 1.495 4.632 2.361
Ni 0.000 0.000 0.000
Ni 3.171 5.842 4.001
As 3.301 3.432 3.486
As 2.243 3.940 7.682
As 4.811 6.555 5.785
As 0.732 0.817 5.383
```

## Properties
* M_tot: 0.339 μB/atom
* space group: No. 12
* total energy: -99.526 eV for the cell shown
* D(E_F): 20.632 states/eV/f.u.


No. 2
A plane-wave DFT calculation with PBE-GGA was carried out for a relaxed structure of Zr2SeCl. Values from VASP.

The structure in Quantum ESPRESSO input format:
```
&SYSTEM
  ibrav = 0, nat = 4, ntyp = 3
/
ATOMIC_SPECIES
Cl 35.45 Cl.upf
Se 78.96 Se.upf
Zr 91.22 Zr.upf
CELL_PARAMETERS angstrom
6.475 -0.008 0.000
4.300 4.841 0.000
-5.388 -2.416 2.658
ATOMIC_POSITIONS angstrom
Cl 5.388 2.416 0.000
Se 3.238 -0.004 1.329
Zr 0.000 0.000 0.000
Zr 2.150 2.421 1.329
```

## Properties
* M_tot: 0.000 μB/atom
* space group: No. 119
* relative energy among the computed polymorphs: 430 meV per atom
* formation energy from raw total energies: -0.55 eV per atom
* total energy: -24.623 eV for the cell shown
* D(E_F): 4.424 states/eV/f.u.


No. 3
A plane-wave DFT calculation with PBE-GGA was carried out for a relaxed structure of Ba2FeAu. Values from VASP.

The structure in Quantum ESPRESSO input format:
```
&SYSTEM
  ibrav = 0, nat = 8, ntyp = 3
/
ATOMIC_SPECIES
Au 196.97 Au.upf
Ba 137.33 Ba.upf
Fe 55.84 Fe.upf
CELL_PARAMETERS angstrom
-6.264 -4.711 -3.581
3.624 -7.176 3.102
-3.395 -5.611 2.953
ATOMIC_POSITIONS angstrom
Au 0.000 0.000 0.000
Au -5.489 -8.133 -0.434
Ba -4.274 -5.217 -1.091
Ba 0.597 -6.504 2.208
Ba -3.515 -8.708 2.053
Ba -4.877 -14.568 1.777
Fe -1.320 -5.943 -0.240
Fe -0.546 -9.365 2.907
```

## Properties
* M_tot: 0.479 μB/atom
* space group: No. 122
* relative energy among the computed polymorphs: 387 meV per atom
* total energy: -28.083 eV for the cell shown
* D(E_F): 7.740 states/eV/f.u.


No. 4
A plane-wave DFT calculation with PBE-GGA was carried out for a relaxed structure of Zn2Os. Values from VASP.

The structure in Quantum ESPRESSO input format:
```
&SYSTEM
  ibrav = 0, nat = 3, ntyp = 2
/
ATOMIC_SPECIES
Zn 65.41 Zn.upf
Os 190.23 Os.upf
CELL_PARAMETERS angstrom
-2.509 2.910 -2.372
-3.539 -2.785 0.328
-0.725 1.182 2.216
ATOMIC_POSITIONS angstrom
Zn -1.255 1.455 -1.186
Zn -1.770 -1.393 0.164
Os -0.362 0.591 1.108
```

## Properties
* M_tot: 0.000 μB/atom
* space group: No. 123
* total energy: -13.293 eV for the cell shown
* D(E_F): 1.451 states/eV/f.u.


No. 5
A plane-wave DFT calculation with PBE-GGA was carried out for a relaxed structure of Tb4NdSm2Tm2. Values from VASP.

The structure in Quantum ESPRESSO input format:
```
&SYSTEM
  ibrav = 0, nat = 9, ntyp = 4
/
ATOMIC_SPECIES
Tb 158.93 Tb.upf
Nd 144.24 Nd.upf
Sm 150.36 Sm.upf
Tm 168.93 Tm.upf
CELL_PARAMETERS angstrom
-1.215 -2.412 2.394
-2.959 -3.902 -8.153
9.013 -2.089 2.468
ATOMIC_POSITIONS angstrom
Tb 3.158 -5.814 -1.536
Tb 1.680 -2.589 -1.756
Tb 2.262 -2.097 1.755
Tb 2.577 -6.306 -5.047
Nd 0.000 0.000 0.000
Sm -0.125 -5.495 -2.880
Sm 4.964 -2.908 -0.412
Tm 6.629 -5.475 -2.154
Tm -1.790 -2.928 -1.138
```

## Properties
* M_tot: 0.000 μB/atom
* space group: No. 12
* total energy: -41.592 eV for the cell shown
* D(E_F): 11.857 states/eV/f.u.


No. 6
A plane-wave DFT calculation with PBE-GGA was carried out for a relaxed structure of Ta2AlCuH. Values from VASP.

The structure in Quantum ESPRESSO input format:
```
&SYSTEM
  ibrav = 0, nat = 5, ntyp = 4
/
ATOMIC_SPECIES
H 1.01 H.upf
Al 26.98 Al.upf
Cu 63.55 Cu.upf
Ta 180.95 Ta.upf
CELL_PARAMETERS angstrom
3.961 0.000 0.000
0.000 3.961 0.000
0.000 0.000 4.258
ATOMIC_POSITIONS angstrom
H 0.000 0.000 0.000
Al 1.980 1.980 2.129
Cu 0.000 0.000 2.129
Ta 0.000 1.980 0.000
Ta 1.980 0.000 0.000
```

## Properties
* M_tot: 0.000 μB/atom
* space group: No. 123
* total energy: -35.215 eV for the cell shown
* D(E_F): 1.646 states/eV/f.u.


No. 7
A plane-wave DFT calculation with PBE-GGA was carried out for a relaxed structure of Er5BiRh2. Values from VASP.

The structure in Quantum ESPRESSO input format:
```
&SYSTEM
  ibrav = 0, nat = 16, ntyp = 3
/
ATOMIC_SPECIES
Er 167.26 Er.upf
Bi 208.98 Bi.upf
Rh 102.91 Rh.upf
CELL_PARAMETERS angstrom
-3.698 -3.880 5.598
1.520 -6.680 -3.625
6.872 4.730 2.452
ATOMIC_POSITIONS angstrom
Er 4.198 -3.310 2.141
Er 0.400 -8.332 1.517
Er 0.000 0.000 0.000
Er -1.089 -5.280 0.987
Er 4.294 2.502 2.909
Er 2.734 -0.709 5.018
Er 5.758 -0.099 0.031
Er 1.960 -5.121 -0.593
Er -1.063 -5.731 4.395
Er 0.496 -2.520 2.285
Bi 1.803 -5.555 2.706
Bi 2.892 -0.275 1.720
Rh 0.027 -2.946 -0.516
Rh -2.155 -3.424 3.076
Rh -0.023 -7.136 -1.103
Rh -2.205 -7.613 2.490
```

## Properties
* M_tot: 0.000 μB/atom
* space group: No. 140
* total energy: -94.584 eV for the cell shown
* D(E_F): 6.988 states/eV/f.u.


No. 8
A plane-wave DFT calculation with PBE-GGA was carried out for a relaxed structure of UNbH. Values from VASP.

The structure in Quantum ESPRESSO input format:
```
&SYSTEM
  ibrav = 0, nat = 3, ntyp = 3
/
ATOMIC_SPECIES
H 1.01 H.upf
Nb 92.91 Nb.upf
U 238.03 U.upf
CELL_PARAMETERS angstrom
2.923 0.000 0.000
1.461 2.531 0.000
1.461 0.844 5.821
ATOMIC_POSITIONS angstrom
H 2.923 1.687 5.704
Nb 1.461 0.844 4.498
U 2.923 1.687 1.695
```

## Properties
* M_tot: 0.000 μB/atom
* space group: No. 160
* relative energy among the computed polymorphs: 0 meV per atom
* total energy: -24.467 eV for the cell shown
* D(E_F): 4.863 states/eV/f.u.


No. 9
A plane-wave DFT calculation with PBE-GGA was carried out for a relaxed structure of BaIr3Cl. Values from VASP.

The structure in Quantum ESPRESSO input format:
```
&SYSTEM
  ibrav = 0, nat = 5, ntyp = 3
/
ATOMIC_SPECIES
Ir 192.22 Ir.upf
Ba 137.33 Ba.upf
Cl 35.45 Cl.upf
CELL_PARAMETERS angstrom
-1.158 0.293 5.209
-5.165 -0.818 -1.102
0.737 -5.273 0.461
ATOMIC_POSITIONS angstrom
Ir -2.582 -0.409 -0.551
Ir 0.368 -2.636 0.230
Ir -0.579 0.147 2.604
Ba 0.000 0.000 0.000
Cl -2.793 -2.899 2.283
```

## Properties
* M_tot: 0.775 μB/atom
* space group: No. 221
* formation energy from raw total energies: 2.84 eV per atom
* total energy: -16.151 eV for the cell shown
* D(E_F): 6.980 states/eV/f.u.


No. 10
A plane-wave DFT calculation with PBE-GGA was carried out for a relaxed structure of Sr2AlCr. Values from VASP.

The structure in Quantum ESPRESSO input format:
```
&SYSTEM
  ibrav = 0, nat = 4, ntyp = 3
/
ATOMIC_SPECIES
Sr 87.62 Sr.upf
Al 26.98 Al.upf
Cr 52.00 Cr.upf
CELL_PARAMETERS angstrom
6.591 0.010 0.003
3.034 5.851 -0.003
-4.235 -3.879 3.234
ATOMIC_POSITIONS angstrom
Sr 0.168 0.102 0.000
Sr 3.324 -0.628 1.619
Al 4.406 2.683 0.000
Cr 2.305 2.755 1.615
```

## Properties
* M_tot: 1.095 μB/atom
* space group: No. 44
* total energy: -15.561 eV for the cell shown
* D(E_F): 3.376 states/eV/f.u.


No. 11
A plane-wave DFT calculation with PBE-GGA was carried out for a relaxed structure of Zr2NiAg2. Values from VASP.

The structure in Quantum ESPRESSO input format:
```
&SYSTEM
  ibrav = 0, nat = 10, ntyp = 3
/
ATOMIC_SPECIES
Ni 58.69 Ni.upf
Zr 91.22 Zr.upf
Ag 107.87 Ag.upf
CELL_PARAMETERS angstrom
-3.510 -5.289 2.290
4.868 -1.285 4.494
-1.942 2.510 2.821
ATOMIC_POSITIONS angstrom
Ni 0.000 0.000 0.000
Ni 0.679 -3.287 3.392
Zr 1.695 -0.515 4.821
Zr 0.705 -3.361 6.671
Zr -2.280 -3.550 4.784
Zr -1.290 -0.703 2.933
Ag 2.924 -3.015 4.695
Ag 0.090 -5.375 4.843
Ag -1.566 -3.560 2.089
Ag 1.268 -1.200 1.940
```

## Properties
* M_tot: 0.000 μB/atom
* space group: No. 127
* relative energy among the computed polymorphs: 0 meV per atom
* total energy: -55.243 eV for the cell shown
* D(E_F): 6.846 states/eV/f.u.


No. 12
A plane-wave DFT calculation with PBE-GGA was carried out for a relaxed structure of Th2Ni3P4Os. Values from VASP.

The structure in Quantum ESPRESSO input format:
```
&SYSTEM
  ibrav = 0, nat = 10, ntyp = 4
/
ATOMIC_SPECIES
Th 232.04 Th.upf
Ni 58.69 Ni.upf
P 30.97 P.upf
Os 190.23 Os.upf
CELL_PARAMETERS angstrom
-3.804 0.699 -1.400
0.359 -3.193 -2.569
-3.433 -5.629 6.515
ATOMIC_POSITIONS angstrom
Th -2.735 -1.016 0.880
Th -2.421 -5.860 3.650
Ni -1.716 -2.814 3.257
Ni -4.942 -4.635 5.069
Ni -0.213 -2.240 -0.540
P -1.723 -1.247 -1.985
P 0.000 0.000 0.000
P -4.078 -3.218 3.429
P -1.078 -3.658 1.101
Os -3.439 -4.061 1.272
```

## Properties
* M_tot: 0.000 μB/atom
* space group: No. 115
* total energy: -74.227 eV for the cell shown
* D(E_F): 7.282 states/eV/f.u.